1.
The following is a DFT calculation (PBE) of a relaxed TaMnGaPt crystal.

```
TaMnGaPt
1.0
4.3877 0.0000 0.0000
2.1939 3.7999 0.0000
2.1939 1.2666 3.5826
Mn Ga Pt Ta
1 1 1 1
Direct
0.2500 0.2500 0.2500
0.0000 0.0000 0.0000
0.7500 0.7500 0.7500
0.5000 0.5000 0.5000
```

Calculated values
The value obtained for the calculated total energy is -31.1 eV per formula unit. The crystal system is cubic.

2.
The following is a DFT calculation (PBE) of a relaxed Ho3MgGa crystal.

```
Ho3MgGa
1.0
6.6711 0.0000 0.0000
0.0000 9.0015 1.3817
0.0000 0.8898 8.9881
Ho Mg Ga
12 4 4
Direct
0.9947 0.7932 0.3031
0.0053 0.2068 0.6969
0.4947 0.2068 0.1969
0.5053 0.7932 0.8031
0.5050 0.7937 0.3002
0.4950 0.2063 0.6998
0.0050 0.2063 0.1998
0.9950 0.7937 0.8002
0.2523 0.5590 0.6102
0.7477 0.4410 0.3898
0.7523 0.4410 0.8898
0.2477 0.5590 0.1102
0.2517 0.9871 0.5032
0.7483 0.0129 0.4968
0.7517 0.0129 0.9968
0.2483 0.9871 0.0032
0.7523 0.6512 0.0872
0.2477 0.3488 0.9128
0.2523 0.3488 0.4128
0.7477 0.6512 0.5872
```

Calculated values
The value obtained for the calculated total energy is -19.6 eV per formula unit. The crystal system is monoclinic.

3.
The following is a DFT calculation (PBE) of a relaxed Tl2AsH crystal.

```
Tl2AsH
1.0
0.0000 3.5209 3.5209
3.5209 0.0000 3.5209
3.5209 3.5209 0.0000
H Tl As
1 2 1
Direct
0.0000 0.0000 0.0000
0.2500 0.2500 0.2500
0.7500 0.7500 0.7500
0.5000 0.5000 0.5000
```

Calculated values
The calculation puts the polymorph energy (0 for the lowest one) at 0.327 eV/atom. The crystal system is cubic.